[1]
This record from Alexandria via LeMat-Bulk describes a relaxed structure of AcSiPt. The functional is GGA-PBE.

Results
ΔE_f (raw), eV per atom: -0.71
E_tot, eV per atom: -5.904
Spin magnetization, μB/f.u.: 0.0
DOS at the Fermi energy, states/eV/atom: 0.88
ΔE to the lowest computed polymorph, meV per atom: 359
Space-group type: R-3m (166)

a = 4.1258 Å, b = 4.1258 Å, c = 11.0894 Å
α = 79.28°, β = 79.28°, γ = 60.00°
Element x y z (fractional)
Si1 0.1210 0.1210 0.6369
Si2 0.8790 0.8790 0.3631
Ac1 0.6076 0.6076 0.1771
Ac2 0.3924 0.3924 0.8229
Pt1 0.1961 0.1961 0.4117
Pt2 0.8039 0.8039 0.5883

[2]
This record from Alexandria via LeMat-Bulk describes a relaxed structure of Sb2RuS. The functional is GGA-PBE.

Results
ΔE_f (raw), eV per atom: 0.25
E_tot, eV per atom: -5.165
Spin magnetization, μB/f.u.: 0.0
DOS at the Fermi energy, states/eV/atom: 0.19
Space-group type: I-42d (122)

a = 6.2033 Å, b = 6.2033 Å, c = 7.2419 Å
α = 64.64°, β = 64.64°, γ = 90.00°
Element x y z (fractional)
Sb1 0.6583 0.1250 0.2500
Sb2 0.0917 0.6250 0.2500
Sb3 0.3750 0.3417 0.7500
Sb4 0.8750 0.9083 0.7500
S1 0.5000 0.5000 0.0000
S2 0.2500 0.7500 0.5000
Ru1 0.0000 0.0000 0.0000
Ru2 0.7500 0.2500 0.5000

[3]
This record from Alexandria via LeMat-Bulk describes a relaxed structure of ScInRh3. The functional is GGA-PBE.

Results
Formation energy, meV per atom: 490
E_tot, eV per atom: -5.734
Spin magnetization, μB/f.u.: 0.0
DOS at the Fermi energy, states/eV/atom: 1.45
ΔE to the lowest computed polymorph, meV per atom: 0
Space-group type: Pm-3m (221)

a = 4.6498 Å, b = 4.6498 Å, c = 4.6498 Å
α = 90.00°, β = 90.00°, γ = 90.00°
Element x y z (fractional)
Sc1 0.0000 0.0000 0.0000
Rh1 0.0000 0.5000 0.0000
Rh2 0.0000 0.0000 0.5000
Rh3 0.5000 0.0000 0.0000
In1 0.5000 0.5000 0.5000

[4]
This record from Alexandria via LeMat-Bulk describes a relaxed structure of Sc2Pt3. The functional is GGA-PBE.

Results
Formation energy, meV per atom: -1125
E_tot, eV per atom: -7.283
Spin magnetization, μB/f.u.: 0.0
DOS at the Fermi energy, states/eV/atom: 0.41
Space-group type: Fdd2 (43)

a = 5.5194 Å, b = 5.5194 Å, c = 7.3205 Å
α = 79.87°, β = 79.87°, γ = 122.23°
Element x y z (fractional)
Pt1 0.6715 0.7635 0.7766
Pt2 0.5401 0.4481 0.2234
Pt3 0.1981 0.7901 0.7234
Pt4 0.5135 0.9215 0.2766
Pt5 0.0422 0.0422 0.0000
Pt6 0.7922 0.2922 0.5000
Sc1 0.6261 0.2270 0.8931
Sc2 0.1201 0.5192 0.1069
Sc3 0.2692 0.3701 0.6069
Sc4 0.9770 0.8761 0.3931

[5]
This record from Alexandria via LeMat-Bulk describes a relaxed structure of BaPa4Se8. The functional is GGA-PBE.

Results
ΔE_f (raw), eV per atom: -1.38
E_tot, eV per atom: -6.590
Spin magnetization, μB/f.u.: 6.0
DOS at the Fermi energy, states/eV/atom: 0.88
ΔE to the lowest computed polymorph, meV per atom: 0
Space-group type: P6_3/mmc (194)

a = 7.9047 Å, b = 7.9047 Å, c = 16.8249 Å
α = 90.00°, β = 90.00°, γ = 120.00°
Element x y z (fractional)
Ba1 0.0000 0.0000 0.0000
Ba2 0.0000 0.0000 0.5000
Pa1 0.4970 0.9940 0.2500
Pa2 0.5030 0.4970 0.7500
Pa3 0.9940 0.4970 0.7500
Pa4 0.0060 0.5030 0.2500
Pa5 0.4970 0.5030 0.2500
Pa6 0.5030 0.0060 0.7500
Pa7 0.0000 0.0000 0.2500
Pa8 0.0000 0.0000 0.7500
Se1 0.1669 0.3338 0.8557
Se2 0.6662 0.8331 0.8557
Se3 0.1669 0.8331 0.8557
Se4 0.8331 0.1669 0.3557
Se5 0.3338 0.1669 0.1443
Se6 0.8331 0.6662 0.3557
Se7 0.3338 0.1669 0.3557
Se8 0.1669 0.3338 0.6443
Se9 0.1669 0.8331 0.6443
Se10 0.8331 0.1669 0.1443
Se11 0.6667 0.3333 0.6439
Se12 0.3333 0.6667 0.1439
Se13 0.3333 0.6667 0.3561
Se14 0.6667 0.3333 0.8561
Se15 0.6662 0.8331 0.6443
Se16 0.8331 0.6662 0.1443

[6]
This record from Alexandria via LeMat-Bulk describes a relaxed structure of KTe2W. The functional is GGA-PBE.

Results
ΔE_f (raw), eV per atom: 0.25
E_tot, eV per atom: -4.829
Spin magnetization, μB/f.u.: 0.0
DOS at the Fermi energy, states/eV/atom: 0.84
ΔE to the lowest computed polymorph, meV per atom: 307
Space-group type: Immm (71)

a = 6.9573 Å, b = 6.9573 Å, c = 6.9573 Å
α = 151.84°, β = 123.21°, γ = 64.57°
Element x y z (fractional)
K1 0.7500 0.2500 0.5000
Te1 0.0743 0.0743 0.0000
Te2 0.4257 0.4257 0.0000
W1 0.2500 0.7500 0.5000

[7]
This record from Alexandria via LeMat-Bulk describes a relaxed structure of Ni8PdPt2. The functional is GGA-PBE.

Results
Formation energy, meV per atom: 115
E_tot, eV per atom: -5.660
Spin magnetization, μB/f.u.: 6.5
DOS at the Fermi energy, states/eV/atom: 1.83
ΔE to the lowest computed polymorph, meV per atom: 0
Space-group type: C2/m (12)

a = 4.3836 Å, b = 6.6994 Å, c = 7.1769 Å
α = 62.18°, β = 72.15°, γ = 48.94°
Element x y z (fractional)
Ni1 0.7663 0.1038 0.2641
Ni2 0.7663 0.3678 0.7359
Ni3 0.2510 0.4967 0.0000
Ni4 0.5000 0.7992 0.4016
Ni5 0.5000 0.2008 0.5984
Ni6 0.7490 0.5033 0.0000
Ni7 0.2337 0.6322 0.2641
Ni8 0.2337 0.8962 0.7359
Pd1 0.5000 0.0000 0.0000
Pt1 0.0000 0.3161 0.3678
Pt2 0.0000 0.6839 0.6322

[8]
This record from Alexandria via LeMat-Bulk describes a relaxed structure of Hg2AuI6. The functional is GGA-PBE.

Results
ΔE_f (raw), eV per atom: -0.16
E_tot, eV per atom: -1.626
Spin magnetization, μB/f.u.: 0.0
DOS at the Fermi energy, states/eV/atom: 0.46
ΔE to the lowest computed polymorph, meV per atom: 12
Space-group type: C2/c (15)

a = 8.1389 Å, b = 10.9262 Å, c = 10.9262 Å
α = 76.20°, β = 68.87°, γ = 68.87°
Element x y z (fractional)
Hg1 0.1928 0.6042 0.8141
Hg2 0.3072 0.1859 0.3958
Hg3 0.8072 0.3958 0.1859
Hg4 0.6928 0.8141 0.6042
Au1 0.2500 0.1765 0.8235
Au2 0.7500 0.8235 0.1765
I1 0.4877 0.6687 0.5791
I2 0.0123 0.4209 0.3313
I3 0.5123 0.3313 0.4209
I4 0.9877 0.5791 0.6687
I5 0.8648 0.9207 0.3281
I6 0.6352 0.6719 0.0793
I7 0.1352 0.0793 0.6719
I8 0.3648 0.3281 0.9207
I9 0.1222 0.7419 0.0221
I10 0.3778 0.9779 0.2581
I11 0.8778 0.2581 0.9779
I12 0.6222 0.0221 0.7419

[9]
This record from Alexandria via LeMat-Bulk describes a relaxed structure of Zr3N2O3. The functional is GGA-PBE.

Results
ΔE_f (raw), eV per atom: -2.56
E_tot, eV per atom: -9.702
Spin magnetization, μB/f.u.: 0.0
DOS at the Fermi energy, states/eV/atom: 0.00
ΔE to the lowest computed polymorph, meV per atom: 0
Space-group type: Cm (8)

a = 5.7327 Å, b = 5.7327 Å, c = 10.7607 Å
α = 89.61°, β = 89.61°, γ = 41.83°
Element x y z (fractional)
Zr1 0.8556 0.8556 0.5659
Zr2 0.8527 0.8527 0.9368
Zr3 0.8081 0.8081 0.2481
Zr4 0.1914 0.1914 0.7563
Zr5 0.1411 0.1411 0.0593
Zr6 0.1384 0.1384 0.4373
N1 0.7029 0.7029 0.4268
N2 0.6980 0.6980 0.0814
N3 0.7627 0.7627 0.7447
N4 0.2964 0.2964 0.9253
O1 0.9541 0.9541 0.1162
O2 0.9584 0.9584 0.3809
O3 0.0464 0.0464 0.6122
O4 0.0433 0.0433 0.8844
O5 0.3057 0.3057 0.5722
O6 0.2449 0.2449 0.2522

[10]
This record from Alexandria via LeMat-Bulk describes a relaxed structure of BaHg2P. The functional is GGA-PBE.

Results
Formation energy, meV per atom: -291
E_tot, eV per atom: -2.275
Spin magnetization, μB/f.u.: 0.0
DOS at the Fermi energy, states/eV/atom: 0.32
Space-group type: Imm2 (44)

a = 5.4475 Å, b = 5.4475 Å, c = 5.4404 Å
α = 119.98°, β = 119.98°, γ = 90.03°
Element x y z (fractional)
Ba1 0.7499 0.2501 0.5000
Hg1 0.0000 0.0000 0.0000
Hg2 0.2498 0.7502 0.5000
P1 0.5002 0.4998 0.0000

[11]
This record from Alexandria via LeMat-Bulk describes a relaxed structure of SmDy3Te2. The functional is GGA-PBE.

Results
ΔE_f (raw), eV per atom: -0.80
E_tot, eV per atom: -4.934
Spin magnetization, μB/f.u.: 0.0
DOS at the Fermi energy, states/eV/atom: 1.14
Space-group type: C2/m (12)

a = 3.9331 Å, b = 11.2128 Å, c = 10.7208 Å
α = 129.50°, β = 90.00°, γ = 100.10°
Element x y z (fractional)
Sm1 0.8896 0.7792 0.8822
Sm2 0.1104 0.2208 0.1178
Dy1 0.3092 0.6183 0.4873
Dy2 0.9508 0.9015 0.5568
Dy3 0.6334 0.2667 0.8043
Dy4 0.3666 0.7333 0.1957
Dy5 0.0492 0.0985 0.4432
Dy6 0.6908 0.3817 0.5127
Te1 0.4881 0.9763 0.8223
Te2 0.5119 0.0237 0.1777
Te3 0.7482 0.4964 0.1877
Te4 0.2518 0.5036 0.8123

[12]
This record from Alexandria via LeMat-Bulk describes a relaxed structure of GaNiBi2. The functional is GGA-PBE.

Results
Formation energy, meV per atom: 207
E_tot, eV per atom: -3.936
Spin magnetization, μB/f.u.: 0.0
DOS at the Fermi energy, states/eV/atom: 0.65
Space-group type: R-3m (166)

a = 3.4235 Å, b = 3.4235 Å, c = 10.2741 Å
α = 80.41°, β = 80.41°, γ = 60.00°
Element x y z (fractional)
Ni1 0.5000 0.5000 0.5000
Bi1 0.1048 0.1048 0.6855
Bi2 0.8952 0.8952 0.3145
Ga1 0.0000 0.0000 0.0000

[13]
This record from Alexandria via LeMat-Bulk describes a relaxed structure of Li2Sm2In5Ag. The functional is GGA-PBE.

Results
Formation energy, meV per atom: -304
E_tot, eV per atom: -3.285
Spin magnetization, μB/f.u.: 0.0
DOS at the Fermi energy, states/eV/atom: 0.48
Space-group type: P4/mbm (127)

a = 3.7932 Å, b = 10.9618 Å, c = 10.9618 Å
α = 90.00°, β = 90.00°, γ = 90.00°
Element x y z (fractional)
Li1 0.0000 0.1242 0.6242
Li2 0.0000 0.8758 0.3758
Li3 0.0000 0.6242 0.8758
Li4 0.0000 0.3758 0.1242
Sm1 0.0000 0.6765 0.1765
Sm2 0.0000 0.3235 0.8235
Sm3 0.0000 0.1765 0.3235
Sm4 0.0000 0.8235 0.6765
In1 0.5000 0.1994 0.0604
In2 0.5000 0.8006 0.9396
In3 0.5000 0.0604 0.8006
In4 0.5000 0.6994 0.4396
In5 0.5000 0.9396 0.1994
In6 0.5000 0.3006 0.5604
In7 0.5000 0.5604 0.6994
In8 0.5000 0.4396 0.3006
In9 0.5000 0.5000 0.0000
In10 0.5000 0.0000 0.5000
Ag1 0.0000 0.0000 0.0000
Ag2 0.0000 0.5000 0.5000

[14]
This record from Alexandria via LeMat-Bulk describes a relaxed structure of Te2AsRu. The functional is GGA-PBE.

Results
ΔE_f (raw), eV per atom: 0.32
E_tot, eV per atom: -4.729
Spin magnetization, μB/f.u.: 0.0
DOS at the Fermi energy, states/eV/atom: 0.80
Space-group type: I-42d (122)

a = 6.5037 Å, b = 6.5037 Å, c = 7.2323 Å
α = 63.28°, β = 63.28°, γ = 90.00°
Element x y z (fractional)
Ru1 0.0000 0.0000 0.0000
Ru2 0.7500 0.2500 0.5000
As1 0.5000 0.5000 0.0000
As2 0.2500 0.7500 0.5000
Te1 0.6663 0.1250 0.2500
Te2 0.0837 0.6250 0.2500
Te3 0.3750 0.3337 0.7500
Te4 0.8750 0.9163 0.7500

[15]
This record from Alexandria via LeMat-Bulk describes a relaxed structure of Hf4ReHg. The functional is GGA-PBE.

Results
Formation energy, meV per atom: -164
E_tot, eV per atom: -8.925
Spin magnetization, μB/f.u.: 0.0
DOS at the Fermi energy, states/eV/atom: 0.74
Space-group type: P4/mmm (123)

a = 3.2664 Å, b = 3.2664 Å, c = 11.4953 Å
α = 90.00°, β = 90.00°, γ = 90.00°
Element x y z (fractional)
Hf1 0.5000 0.5000 0.8601
Hf2 0.5000 0.5000 0.1399
Hf3 0.0000 0.0000 0.6806
Hf4 0.0000 0.0000 0.3194
Re1 0.0000 0.0000 0.0000
Hg1 0.5000 0.5000 0.5000